Compound: Pm3ErRh3
Source: Alexandria
Functional: PBE-GGA
Structure: optimized geometry

Lattice parameters (Å, degrees): 6.981 6.981 7.066 90.42 90.42 96.10
Atoms (fractional coordinates):
Pm 0.181 0.819 0.000
Pm 0.253 0.747 0.500
Pm 0.329 0.329 0.119
Pm 0.671 0.671 0.881
Pm 0.747 0.253 0.500
Pm 0.819 0.181 0.000
Er 0.239 0.239 0.622
Er 0.761 0.761 0.378
Rh 0.009 0.499 0.772
Rh 0.061 0.061 0.303
Rh 0.499 0.009 0.772
Rh 0.501 0.991 0.228
Rh 0.939 0.939 0.697
Rh 0.991 0.501 0.228

Calculated values
The value obtained for the formation enthalpy at 0 K is -0.612 eV per atom. As for the crystal system: monoclinic. The value obtained for the spin magnetization is 0.000 μB per cell.


Compound: Ho2AlSi3Ni4
Source: Alexandria
Functional: PBE-GGA
Structure: optimized geometry

Lattice parameters (Å, degrees): 3.960 3.960 9.649 90.00 90.00 90.00
Atoms (fractional coordinates):
Ho 0.000 0.500 0.246
Ho 0.500 0.000 0.754
Al 0.000 0.000 0.500
Si 0.000 0.500 0.874
Si 0.500 0.000 0.126
Si 0.500 0.500 0.500
Ni 0.000 0.000 0.000
Ni 0.000 0.500 0.637
Ni 0.500 0.000 0.363
Ni 0.500 0.500 0.000

Calculated values
The energy relative to the elements, uncorrected is -819.0 meV/atom. As for the crystal system: tetragonal. The value obtained for the spin magnetization is 0.000 μB per cell.


- Number 2 is which compound?
  Ho2AlSi3Ni4


- Number 1 is which compound?
  Pm3ErRh3